1.
Material: BaGa3H
Method: DFT, PBEsol
State: optimized geometry

Structure (CIF):
```
data_BaGa3H
_space_group_name_H-M_alt 'P 1'
_space_group_IT_number 1
_cell_length_a 4.665
_cell_length_b 4.665
_cell_length_c 4.665
_cell_angle_alpha 90.00
_cell_angle_beta 90.00
_cell_angle_gamma 90.00
loop_
_space_group_symop_operation_xyz
'x,y,z'
loop_
_atom_site_label
_atom_site_fract_x
_atom_site_fract_y
_atom_site_fract_z
_atom_site_occupancy
Ba1 0.000 0.000 0.000 1
Ga1 0.000 0.500 0.500 1
Ga2 0.500 0.000 0.500 1
Ga3 0.500 0.500 0.000 1
H1 0.500 0.500 0.500 1
```

**M_tot**: 0.00 μB per formula unit
**Total energy**: -2.9963 eV/atom

2.
Material: Ba2GaP4HO14
Method: DFT, PBEsol
State: optimized geometry

Structure (CIF):
```
data_Ba2GaP4HO14
_space_group_name_H-M_alt 'P 1'
_space_group_IT_number 1
_cell_length_a 4.803
_cell_length_b 7.636
_cell_length_c 8.545
_cell_angle_alpha 107.90
_cell_angle_beta 97.22
_cell_angle_gamma 106.55
loop_
_space_group_symop_operation_xyz
'x,y,z'
loop_
_atom_site_label
_atom_site_fract_x
_atom_site_fract_y
_atom_site_fract_z
_atom_site_occupancy
Ba1 0.160 0.472 0.241 1
Ba2 0.840 0.528 0.759 1
Ga1 0.000 0.000 0.500 1
P1 0.379 0.171 0.876 1
P2 0.449 0.816 0.638 1
P3 0.551 0.184 0.362 1
P4 0.621 0.829 0.124 1
H1 0.000 0.000 0.000 1
O1 0.158 0.149 0.990 1
O2 0.221 0.132 0.367 1
O3 0.254 0.837 0.493 1
O4 0.260 0.205 0.715 1
O5 0.325 0.669 0.030 1
O6 0.335 0.610 0.640 1
O7 0.417 0.958 0.814 1
O8 0.583 0.042 0.186 1
O9 0.665 0.390 0.360 1
O10 0.675 0.331 0.970 1
O11 0.740 0.795 0.285 1
O12 0.746 0.163 0.507 1
O13 0.779 0.868 0.633 1
O14 0.842 0.851 0.010 1
```

**M_tot**: 0.00 μB per formula unit
**Total energy**: -7.3048 eV/atom

3.
Material: BaGaSiH
Method: DFT, PBEsol
State: optimized geometry

Structure (CIF):
```
data_BaGaSiH
_space_group_name_H-M_alt 'P 1'
_space_group_IT_number 1
_cell_length_a 4.254
_cell_length_b 4.254
_cell_length_c 5.108
_cell_angle_alpha 90.00
_cell_angle_beta 90.00
_cell_angle_gamma 120.00
loop_
_space_group_symop_operation_xyz
'x,y,z'
loop_
_atom_site_label
_atom_site_fract_x
_atom_site_fract_y
_atom_site_fract_z
_atom_site_occupancy
Ba1 0.000 0.000 0.000 1
Ga1 0.333 0.667 0.461 1
Si1 0.667 0.333 0.541 1
H1 0.333 0.667 0.120 1
```

**M_tot**: 0.00 μB per formula unit
**Total energy**: -4.0902 eV/atom

4.
Material: BaGaSnH
Method: DFT, PBEsol
State: optimized geometry

Structure (CIF):
```
data_BaGaSnH
_space_group_name_H-M_alt 'P 1'
_space_group_IT_number 1
_cell_length_a 4.532
_cell_length_b 4.532
_cell_length_c 5.218
_cell_angle_alpha 90.00
_cell_angle_beta 90.00
_cell_angle_gamma 120.00
loop_
_space_group_symop_operation_xyz
'x,y,z'
loop_
_atom_site_label
_atom_site_fract_x
_atom_site_fract_y
_atom_site_fract_z
_atom_site_occupancy
Ba1 0.000 0.000 0.000 1
Ga1 0.333 0.667 0.418 1
Sn1 0.667 0.333 0.543 1
H1 0.333 0.667 0.086 1
```

**M_tot**: 0.00 μB per formula unit
**Total energy**: -3.7997 eV/atom

5.
Material: BaMgGaHg2
Method: DFT, PBEsol
State: optimized geometry

Structure (CIF):
```
data_BaMgGaHg2
_space_group_name_H-M_alt 'P 1'
_space_group_IT_number 1
_cell_length_a 6.115
_cell_length_b 6.115
_cell_length_c 5.969
_cell_angle_alpha 90.00
_cell_angle_beta 90.00
_cell_angle_gamma 90.00
loop_
_space_group_symop_operation_xyz
'x,y,z'
loop_
_atom_site_label
_atom_site_fract_x
_atom_site_fract_y
_atom_site_fract_z
_atom_site_occupancy
Ba1 0.000 0.000 0.000 1
Mg1 0.500 0.500 0.500 1
Ga1 0.000 0.000 0.500 1
Hg1 0.000 0.500 0.000 1
Hg2 0.500 0.000 0.000 1
```

**Energy relative to the elements**: 668 meV/atom
**M_tot**: 0.00 μB per formula unit
**Total energy**: -0.9998 eV/atom

6.
Material: BaGaHg2O
Method: DFT, PBEsol
State: optimized geometry

Structure (CIF):
```
data_BaGaHg2O
_space_group_name_H-M_alt 'P 1'
_space_group_IT_number 1
_cell_length_a 6.468
_cell_length_b 6.468
_cell_length_c 6.304
_cell_angle_alpha 90.00
_cell_angle_beta 90.00
_cell_angle_gamma 90.00
loop_
_space_group_symop_operation_xyz
'x,y,z'
loop_
_atom_site_label
_atom_site_fract_x
_atom_site_fract_y
_atom_site_fract_z
_atom_site_occupancy
Ba1 0.000 0.000 0.000 1
Ga1 0.000 0.000 0.500 1
Hg1 0.000 0.500 0.000 1
Hg2 0.500 0.000 0.000 1
O1 0.500 0.500 0.500 1
```

**Uncorrected formation energy**: 1.01 eV/atom
**M_tot**: 0.61 μB per formula unit
**Total energy**: -1.3611 eV/atom

7.
Material: Ba6Ho2Ga4O15
Method: DFT, PBEsol
State: optimized geometry

Structure (CIF):
```
data_Ba6Ho2Ga4O15
_space_group_name_H-M_alt 'P 1'
_space_group_IT_number 1
_cell_length_a 7.920
_cell_length_b 5.948
_cell_length_c 18.381
_cell_angle_alpha 90.00
_cell_angle_beta 91.31
_cell_angle_gamma 90.00
loop_
_space_group_symop_operation_xyz
'x,y,z'
loop_
_atom_site_label
_atom_site_fract_x
_atom_site_fract_y
_atom_site_fract_z
_atom_site_occupancy
Ba1 0.000 0.170 0.250 1
Ba2 0.000 0.830 0.750 1
Ba3 0.001 0.254 0.578 1
Ba4 0.001 0.746 0.078 1
Ba5 0.475 0.250 0.910 1
Ba6 0.475 0.750 0.410 1
Ba7 0.500 0.220 0.250 1
Ba8 0.500 0.780 0.750 1
Ba9 0.525 0.250 0.590 1
Ba10 0.525 0.750 0.090 1
Ba11 0.999 0.254 0.922 1
Ba12 0.999 0.746 0.422 1
Ho1 0.253 0.248 0.090 1
Ho2 0.253 0.752 0.590 1
Ho3 0.747 0.248 0.410 1
Ho4 0.747 0.752 0.910 1
Ga1 0.255 0.246 0.441 1
Ga2 0.255 0.754 0.941 1
Ga3 0.269 0.274 0.734 1
Ga4 0.269 0.726 0.234 1
Ga5 0.731 0.274 0.766 1
Ga6 0.731 0.726 0.266 1
Ga7 0.745 0.246 0.059 1
Ga8 0.745 0.754 0.559 1
O1 0.031 0.255 0.410 1
O2 0.031 0.745 0.910 1
O3 0.191 0.161 0.818 1
O4 0.191 0.839 0.318 1
O5 0.221 0.456 0.190 1
O6 0.221 0.544 0.690 1
O7 0.253 0.049 0.663 1
O8 0.253 0.951 0.163 1
O9 0.266 0.014 0.998 1
O10 0.266 0.986 0.498 1
O11 0.267 0.486 0.508 1
O12 0.267 0.514 0.008 1
O13 0.455 0.267 0.392 1
O14 0.455 0.733 0.892 1
O15 0.500 0.309 0.750 1
O16 0.500 0.691 0.250 1
O17 0.545 0.267 0.108 1
O18 0.545 0.733 0.608 1
O19 0.733 0.486 0.992 1
O20 0.733 0.514 0.492 1
O21 0.734 0.014 0.502 1
O22 0.734 0.986 0.002 1
O23 0.747 0.049 0.837 1
O24 0.747 0.951 0.337 1
O25 0.779 0.456 0.310 1
O26 0.779 0.544 0.810 1
O27 0.809 0.161 0.682 1
O28 0.809 0.839 0.182 1
O29 0.969 0.255 0.090 1
O30 0.969 0.745 0.590 1
```

**Uncorrected formation energy**: -2.66 eV/atom
**M_tot**: 0.00 μB per formula unit
**Total energy**: -6.9114 eV/atom

8.
Material: BaGaI3
Method: DFT, PBEsol
State: optimized geometry

Structure (CIF):
```
data_BaGaI3
_space_group_name_H-M_alt 'P 1'
_space_group_IT_number 1
_cell_length_a 6.580
_cell_length_b 6.580
_cell_length_c 6.580
_cell_angle_alpha 90.00
_cell_angle_beta 90.00
_cell_angle_gamma 90.00
loop_
_space_group_symop_operation_xyz
'x,y,z'
loop_
_atom_site_label
_atom_site_fract_x
_atom_site_fract_y
_atom_site_fract_z
_atom_site_occupancy
Ba1 0.000 0.000 0.000 1
Ga1 0.500 0.500 0.500 1
I1 0.000 0.000 0.500 1
I2 0.000 0.500 0.000 1
I3 0.500 0.000 0.000 1
```

**Uncorrected formation energy**: -0.78 eV/atom
**M_tot**: 0.00 μB per formula unit
**Total energy**: -2.9395 eV/atom

9.
Material: Ba2InGa2
Method: DFT, PBEsol
State: optimized geometry

Structure (CIF):
```
data_Ba2InGa2
_space_group_name_H-M_alt 'P 1'
_space_group_IT_number 1
_cell_length_a 11.145
_cell_length_b 11.145
_cell_length_c 11.145
_cell_angle_alpha 160.38
_cell_angle_beta 160.38
_cell_angle_gamma 27.89
loop_
_space_group_symop_operation_xyz
'x,y,z'
loop_
_atom_site_label
_atom_site_fract_x
_atom_site_fract_y
_atom_site_fract_z
_atom_site_occupancy
Ba1 0.111 0.111 0.000 1
Ba2 0.889 0.889 0.000 1
In1 0.500 0.500 0.000 1
Ga1 0.250 0.750 0.500 1
Ga2 0.750 0.250 0.500 1
```

**Energy relative to the elements**: -238 meV/atom
**M_tot**: 0.00 μB per formula unit
**Total energy**: -3.0298 eV/atom

10.
Material: Ba3InGa
Method: DFT, PBEsol
State: optimized geometry

Structure (CIF):
```
data_Ba3InGa
_space_group_name_H-M_alt 'P 1'
_space_group_IT_number 1
_cell_length_a 6.518
_cell_length_b 6.518
_cell_length_c 6.518
_cell_angle_alpha 90.00
_cell_angle_beta 90.00
_cell_angle_gamma 90.00
loop_
_space_group_symop_operation_xyz
'x,y,z'
loop_
_atom_site_label
_atom_site_fract_x
_atom_site_fract_y
_atom_site_fract_z
_atom_site_occupancy
Ba1 0.000 0.000 0.500 1
Ba2 0.000 0.500 0.000 1
Ba3 0.500 0.000 0.000 1
In1 0.000 0.000 0.000 1
Ga1 0.500 0.500 0.500 1
```

**Energy relative to the elements**: 238 meV/atom
**M_tot**: 2.91 μB per formula unit
**Total energy**: -2.3160 eV/atom

11.
Material: BaInGa
Method: DFT, PBEsol
State: optimized geometry

Structure (CIF):
```
data_BaInGa
_space_group_name_H-M_alt 'P 1'
_space_group_IT_number 1
_cell_length_a 6.292
_cell_length_b 6.292
_cell_length_c 8.102
_cell_angle_alpha 129.62
_cell_angle_beta 129.62
_cell_angle_gamma 46.87
loop_
_space_group_symop_operation_xyz
'x,y,z'
loop_
_atom_site_label
_atom_site_fract_x
_atom_site_fract_y
_atom_site_fract_z
_atom_site_occupancy
Ba1 0.250 0.250 0.192 1
Ba2 0.750 0.750 0.808 1
In1 0.422 0.422 0.754 1
In2 0.578 0.578 0.246 1
Ga1 0.067 0.067 0.416 1
Ga2 0.933 0.933 0.584 1
```

**Energy relative to the elements**: -494 meV/atom
**M_tot**: 0.00 μB per formula unit
**Total energy**: -3.3181 eV/atom